(1)
{
  "formula": "DyZn2Ni8",
  "functional": "PBE",
  "state": "relaxed",
  "lattice_angstrom": [[-1.366, -5.730, 0.610], [3.974, -0.483, 4.364], [-3.357, 1.139, 3.184]],
  "species": ["Ni", "Ni", "Ni", "Ni", "Ni", "Ni", "Ni", "Dy", "Ni", "Zn", "Zn"],
  "fractional_positions": [[0.197, 0.803, 0.256], [0.803, 0.197, 0.744], [0.803, 0.803, 0.256], [0.197, 0.197, 0.744], [0.803, 0.197, 0.256], [0.197, 0.803, 0.744], [0.803, 0.803, 0.744], [0.500, 0.500, 0.500], [0.197, 0.197, 0.256], [0.000, 0.500, 0.000], [0.500, 0.000, 0.000]],
  "space_group": "P4/mmm, No. 123",
  "formation_enthalpy_0k_ev_per_atom": 0.3045
}

=====

(2)
{
  "formula": "Dy6ZnNi2",
  "functional": "PBE",
  "state": "relaxed",
  "lattice_angstrom": [[8.306, -0.007, -0.028], [-3.153, 7.684, 0.028], [-2.785, -3.698, 6.896]],
  "species": ["Ni", "Dy", "Ni", "Ni", "Dy", "Zn", "Dy", "Dy", "Ni", "Dy", "Dy", "Dy", "Dy", "Zn", "Dy", "Dy", "Dy", "Dy"],
  "fractional_positions": [[0.346, 0.000, 0.346], [0.692, 0.018, 0.326], [0.500, 0.379, 0.879], [0.654, 0.000, 0.654], [0.308, 0.633, 0.326], [0.000, 0.000, 0.000], [0.463, 0.283, 0.180], [0.692, 0.367, 0.674], [0.500, 0.621, 0.121], [0.192, 0.762, 0.955], [0.537, 0.717, 0.820], [0.897, 0.717, 0.180], [0.308, 0.982, 0.674], [0.000, 0.500, 0.500], [0.808, 0.762, 0.570], [0.808, 0.238, 0.045], [0.103, 0.283, 0.820], [0.192, 0.238, 0.430]],
  "space_group": "Immm, No. 71",
  "formation_enthalpy_0k_ev_per_atom": -0.2904
}

=====

(3)
{
  "formula": "DyZn5Ni7",
  "functional": "PBE",
  "state": "relaxed",
  "lattice_angstrom": [[-2.077, -1.573, -4.183], [-5.634, -2.895, 0.983], [-3.770, 4.428, -2.696]],
  "species": ["Ni", "Zn", "Ni", "Zn", "Ni", "Ni", "Zn", "Ni", "Dy", "Ni", "Zn", "Ni", "Zn"],
  "fractional_positions": [[0.356, 0.644, 0.644], [0.499, 0.003, 0.495], [0.002, 0.642, 0.354], [0.002, 0.003, 0.495], [0.644, 0.356, 0.356], [0.277, 0.223, 0.223], [0.719, 0.781, 0.781], [0.501, 0.773, 0.225], [0.992, 0.008, 0.008], [0.501, 0.225, 0.773], [0.002, 0.495, 0.003], [0.002, 0.354, 0.642], [0.499, 0.495, 0.003]],
  "space_group": "Imm2, No. 44",
  "formation_enthalpy_0k_ev_per_atom": -0.2099
}

=====

(4)
{
  "formula": "Dy4Zn3Ni",
  "functional": "PBE",
  "state": "relaxed",
  "lattice_angstrom": [[-0.542, -1.545, -3.110], [3.093, -1.645, 0.279], [-6.325, -10.796, 6.466]],
  "species": ["Dy", "Dy", "Zn", "Dy", "Ni", "Dy", "Zn", "Zn"],
  "fractional_positions": [[0.000, 0.000, 0.115], [0.000, 0.000, 0.885], [0.500, 0.500, 0.245], [0.000, 0.000, 0.372], [0.500, 0.500, 0.000], [0.000, 0.000, 0.628], [0.500, 0.500, 0.500], [0.500, 0.500, 0.755]],
  "space_group": "P4/mmm, No. 123",
  "formation_enthalpy_0k_ev_per_atom": -0.3612,
  "polymorph_energy_ev_per_atom": 0.0000
}

=====

(5)
{
  "formula": "Dy2ZnNi",
  "functional": "PBE",
  "state": "relaxed",
  "lattice_angstrom": [[-3.136, 1.377, 1.866], [-3.568, -0.678, -1.420], [-2.711, -7.423, 4.999]],
  "species": ["Dy", "Zn", "Dy", "Ni"],
  "fractional_positions": [[0.886, 0.886, 0.342], [0.000, 0.000, 0.000], [0.114, 0.114, 0.658], [0.500, 0.500, 0.500]],
  "space_group": "R-3m, No. 166",
  "formation_enthalpy_0k_ev_per_atom": 0.0808,
  "polymorph_energy_ev_per_atom": 0.4571
}

=====

(6)
{
  "formula": "Dy2ZnNi",
  "functional": "PBE",
  "state": "relaxed",
  "lattice_angstrom": [[-1.876, 2.973, -3.423], [-3.779, -1.499, -2.747], [-4.440, 1.986, 0.643]],
  "species": ["Dy", "Dy", "Ni", "Zn"],
  "fractional_positions": [[0.750, 0.750, 0.750], [0.250, 0.250, 0.250], [0.500, 0.500, 0.500], [0.000, 0.000, 0.000]],
  "space_group": "Fm-3m, No. 225",
  "formation_enthalpy_0k_ev_per_atom": -0.3507,
  "polymorph_energy_ev_per_atom": 0.0256
}

=====

(7)
{
  "formula": "DyZnNi2",
  "functional": "PBE",
  "state": "relaxed",
  "lattice_angstrom": [[-1.859, 1.742, 2.198], [-0.918, -3.652, 2.117], [3.481, 0.570, 2.494]],
  "species": ["Ni", "Ni", "Dy", "Zn"],
  "fractional_positions": [[0.000, 0.000, 0.500], [0.000, 0.500, 0.000], [0.500, 0.000, 0.000], [0.500, 0.500, 0.500]],
  "space_group": "P4/mmm, No. 123",
  "formation_enthalpy_0k_ev_per_atom": -0.2100
}

=====

(8)
{
  "formula": "Dy4Zn3Ni",
  "functional": "PBE",
  "state": "relaxed",
  "lattice_angstrom": [[3.687, 0.000, 0.000], [0.000, 4.504, 0.000], [0.000, 0.000, 10.854]],
  "species": ["Dy", "Dy", "Dy", "Dy", "Zn", "Zn", "Zn", "Ni"],
  "fractional_positions": [[0.500, 0.500, 0.338], [0.500, 0.000, 0.653], [0.000, 0.000, 0.141], [0.000, 0.500, 0.870], [0.000, 0.500, 0.571], [0.500, 0.000, 0.932], [0.000, 0.000, 0.427], [0.500, 0.500, 0.068]],
  "space_group": "Pmm2, No. 25",
  "formation_enthalpy_0k_ev_per_atom": -0.3232,
  "polymorph_energy_ev_per_atom": 0.0380
}

=====

| no. | Fermi-level density of states (states/eV/atom) | size of the total moment (μB per cell) |
| --- | --- | --- |
| 1 | 1.674 | 3.0 |
| 2 | 1.028 | 0.0 |
| 3 | 0.646 | 0.0 |
| 4 | 0.738 | 0.0 |
| 5 | 0.644 | 0.0 |
| 6 | 0.566 | 0.0 |
| 7 | 0.670 | 0.0 |
| 8 | 1.110 | 0.0 |